{"formula": "CdSnSb2", "functional": "PBE", "state": "optimized geometry", "e_above_lowest_polymorph_ev_per_atom": 0.186, "e_form_raw_kj_per_mol_atoms": 13.7, "magnetic_moment_mub_per_fu": 0.0, "lattice": [[7.551, 0.000, 0.000], [0.000, 7.551, 0.000], [0.000, 0.000, 7.551]], "species": ["Cd", "Cd", "Cd", "Cd", "Sn", "Sn", "Sn", "Sn", "Sb", "Sb", "Sb", "Sb", "Sb", "Sb", "Sb", "Sb"], "frac_coords": [[0.000, 0.000, 0.000], [0.000, 0.500, 0.500], [0.500, 0.000, 0.500], [0.500, 0.500, 0.000], [0.000, 0.000, 0.500], [0.000, 0.500, 0.000], [0.500, 0.000, 0.000], [0.500, 0.500, 0.500], [0.250, 0.250, 0.250], [0.250, 0.250, 0.750], [0.250, 0.750, 0.250], [0.250, 0.750, 0.750], [0.750, 0.250, 0.250], [0.750, 0.250, 0.750], [0.750, 0.750, 0.250], [0.750, 0.750, 0.750]]}